# 1
V2NiPd2: optimized geometry, PBE.

```
data_V2NiPd2
_symmetry_space_group_name_H-M 'C m c 21'
_symmetry_Int_Tables_number 36
_cell_length_a 4.423
_cell_length_b 13.942
_cell_length_c 4.554
_cell_angle_alpha 90.00
_cell_angle_beta 90.00
_cell_angle_gamma 90.00
loop_
_symmetry_equiv_pos_as_xyz
'x,y,z'
'-x,-y,z+1/2'
'-x,y,z'
'x,-y,z+1/2'
'x+1/2,y+1/2,z'
'-x+1/2,-y+1/2,z+1/2'
'-x+1/2,y+1/2,z'
'x+1/2,-y+1/2,z+1/2'
loop_
_atom_site_label
_atom_site_fract_x
_atom_site_fract_y
_atom_site_fract_z
V1 0.000 0.138 0.000
V2 0.000 0.360 0.933
Ni1 0.000 0.050 0.520
Pd1 0.000 0.242 0.487
Pd2 0.000 0.449 0.412
```

## Properties
Total energy   -6.96 eV/atom
Offset from the most stable computed form   0.00 kcal/mol of atoms
ΔE_f   -0.08 eV per atom

# 2
NbV4Tc2: optimized geometry, PBE.

```
data_NbV4Tc2
_symmetry_space_group_name_H-M 'I 4/m m m'
_symmetry_Int_Tables_number 139
_symmetry_space_group_name_Hall '-I 4 2'
_cell_length_a 4.514
_cell_length_b 4.514
_cell_length_c 12.352
_cell_angle_alpha 90.00
_cell_angle_beta 90.00
_cell_angle_gamma 90.00
loop_
_atom_site_label
_atom_site_fract_x
_atom_site_fract_y
_atom_site_fract_z
Nb1 0.000 0.000 0.000
V1 0.000 0.000 0.202
V2 0.000 0.500 0.000
Tc1 0.000 0.000 0.378
```

## Properties
Total energy   -8.44 eV/atom
ΔE_f   1.17 eV per atom